A relaxed structure of Ta3H4Ru2, computed with PBE.

a b c (Å): 5.0769 5.0769 6.6248
angles (deg): 101.63 101.63 33.19
Closest atoms and distances in Å follow each position.
Fractional positions:
Ta (0.0000, 0.0000, 0.0000)  6 H 2.09-2.14
Ta (0.3852, 0.3852, 0.6062)  3 H 2.13-2.25
Ta (0.6148, 0.6148, 0.3938)  3 H 2.13-2.25
H (0.0625, 0.0625, 0.7097)  2 Ru 1.93, 1 Ta 2.14
H (0.3443, 0.3443, 0.9104)  3 Ru 2.00-2.10, 3 Ta 2.09-2.13
H (0.6557, 0.6557, 0.0896)  3 Ru 2.00-2.10, 3 Ta 2.09-2.13
H (0.9375, 0.9375, 0.2903)  2 Ru 1.93, 1 Ta 2.14
Ru (0.3090, 0.3090, 0.1973)  5 H 1.93-2.10
Ru (0.6910, 0.6910, 0.8027)  5 H 1.93-2.10

Calculated values
The total energy is -7.514 eV/atom. As for the space group: C2/m (12).